Arrangement 1

# Pa2FeCo (PBE, relaxed)
data_Pa2FeCo
_chemical_formula_sum 'Pa4 Fe2 Co2'
_symmetry_space_group_name_H-M 'P 1 21/m 1'
_symmetry_Int_Tables_number 11
_cell_length_a 5.740
_cell_length_b 3.744
_cell_length_c 7.248
_cell_angle_alpha 90.00
_cell_angle_beta 109.40
_cell_angle_gamma 90.00
loop_
_symmetry_equiv_pos_as_xyz
'x,y,z'
'-x,-y,-z'
'-x,y+1/2,-z'
'x,-y+1/2,z'
loop_
_atom_site_label
_atom_site_fract_x
_atom_site_fract_y
_atom_site_fract_z
Pa1 0.230 0.250 0.430
Pa2 0.231 0.250 0.939
Fe1 0.301 0.750 0.205
Co1 0.308 0.750 0.703
# - Crystal system: monoclinic
# - V: 146.93 Å³ per cell

***

Arrangement 2

# Pa2FeCo (PBE, relaxed)
data_Pa2FeCo
_chemical_formula_sum 'Pa6 Fe3 Co3'
_symmetry_space_group_name_H-M 'R -3 m'
_symmetry_Int_Tables_number 166
_symmetry_space_group_name_Hall '-R 3 2"'
_cell_length_a 3.7606
_cell_length_b 3.7606
_cell_length_c 18.5730
_cell_angle_alpha 90.00
_cell_angle_beta 90.00
_cell_angle_gamma 120.00
loop_
_atom_site_label
_atom_site_fract_x
_atom_site_fract_y
_atom_site_fract_z
Pa1 0.0000 0.0000 0.2482
Fe1 0.0000 0.0000 0.5000
Co1 0.0000 0.0000 0.0000
# - Crystal system: trigonal
# - V: 227.47 Å³ per cell

***

Stability summary - winner: arrangement 1; margin: 101 meV per atom.

***

Arrangement 1

# FeCo3Pb (PBE, relaxed)
data_FeCo3Pb
_chemical_formula_sum 'Fe1 Co3 Pb1'
_symmetry_space_group_name_H-M 'P m -3 m'
_symmetry_Int_Tables_number 221
_symmetry_space_group_name_Hall '-P 4 2 3'
_cell_length_a 4.719
_cell_length_b 4.719
_cell_length_c 4.719
_cell_angle_alpha 90.00
_cell_angle_beta 90.00
_cell_angle_gamma 90.00
loop_
_atom_site_label
_atom_site_fract_x
_atom_site_fract_y
_atom_site_fract_z
Fe1 0.000 0.000 0.000
Co1 0.000 0.500 0.500
Pb1 0.500 0.500 0.500
# - Crystal system: cubic
# - V: 105.06 Å³ per cell

***

Arrangement 2

# FeCo3Pb (PBE, relaxed)
data_FeCo3Pb
_chemical_formula_sum 'Fe1 Co3 Pb1'
_symmetry_space_group_name_H-M 'P m -3 m'
_symmetry_Int_Tables_number 221
_symmetry_space_group_name_Hall '-P 4 2 3'
_cell_length_a 4.381
_cell_length_b 4.381
_cell_length_c 4.381
_cell_angle_alpha 90.00
_cell_angle_beta 90.00
_cell_angle_gamma 90.00
loop_
_atom_site_label
_atom_site_fract_x
_atom_site_fract_y
_atom_site_fract_z
Fe1 0.000 0.000 0.000
Co1 0.000 0.000 0.500
Pb1 0.500 0.500 0.500
# - Crystal system: cubic
# - V: 84.06 Å³ per cell

***

Stability summary - winner: arrangement 2; margin: 1332 meV per atom.